Material: TbLuPO
Method: DFT, PBE
State: optimized geometry

a = 4.265 Å, b = 4.265 Å, c = 8.521 Å
α = 90.00°, β = 90.00°, γ = 90.00°
Space group P4/nmm (No. 129, origin choice 2)
One atom of each set of equivalent atoms:
Tb 0.250 0.250 0.108 x2
Lu 0.250 0.750 0.500 x2
P 0.250 0.250 0.689 x2
O 0.250 0.750 0.000 x2



Material: TbLuPO
Method: DFT, PBE
State: optimized geometry

a = 4.089 Å, b = 7.455 Å, c = 5.436 Å
α = 90.00°, β = 90.00°, γ = 90.00°
Space group Pmc2_1 (No. 26)
One atom of each set of equivalent atoms:
Tb 0.000 0.130 0.000 x2
Lu 0.500 0.290 0.469 x2
P 0.500 0.353 0.966 x2
O 0.000 0.177 0.436 x2



Material: TbLuPO
Method: DFT, PBE
State: optimized geometry

a = 4.282 Å, b = 4.282 Å, c = 8.374 Å
α = 90.00°, β = 90.00°, γ = 90.00°
Space group P4/nmm (No. 129, origin choice 2)
One atom of each set of equivalent atoms:
Tb 0.250 0.750 0.000 x2
Lu 0.250 0.250 0.407 x2
P 0.250 0.250 0.795 x2
O 0.250 0.750 0.500 x2



Material: LuTlPO
Method: DFT, PBE
State: optimized geometry

a = 4.087 Å, b = 4.087 Å, c = 9.380 Å
α = 90.00°, β = 90.00°, γ = 90.00°
Space group P4/nmm (No. 129, origin choice 2)
One atom of each set of equivalent atoms:
Lu 0.250 0.250 0.100 x2
Tl 0.250 0.750 0.500 x2
P 0.250 0.250 0.728 x2
O 0.250 0.750 0.000 x2



Material: LuTlPO
Method: DFT, PBE
State: optimized geometry

a = 5.589 Å, b = 5.589 Å, c = 4.930 Å
α = 90.00°, β = 90.00°, γ = 90.00°
Space group P4/nmm (No. 129, origin choice 2)
One atom of each set of equivalent atoms:
Lu 0.250 0.750 0.000 x2
Tl 0.250 0.250 0.489 x2
P 0.250 0.250 0.989 x2
O 0.250 0.750 0.500 x2



Material: LuTlPO
Method: DFT, PBE
State: optimized geometry

a = 3.963 Å, b = 7.929 Å, c = 5.662 Å
α = 90.00°, β = 90.00°, γ = 90.00°
Space group Pmc2_1 (No. 26)
One atom of each set of equivalent atoms:
Lu 0.000 0.177 0.000 x2
Tl 0.500 0.380 0.534 x2
P 0.000 0.167 0.494 x2
O 0.500 0.274 0.991 x2



Material: LuTlPO
Method: DFT, PBE
State: optimized geometry

a = 4.673 Å, b = 8.017 Å, c = 5.396 Å
α = 90.00°, β = 90.00°, γ = 90.00°
Space group Pmc2_1 (No. 26)
One atom of each set of equivalent atoms:
Lu 0.000 0.137 0.000 x2
Tl 0.500 0.321 0.431 x2
P 0.500 0.303 0.926 x2
O 0.000 0.103 0.375 x2



Material: TmLuPO
Method: DFT, PBE
State: optimized geometry

a = 4.242 Å, b = 4.242 Å, c = 8.308 Å
α = 90.00°, β = 90.00°, γ = 90.00°
Space group P4/nmm (No. 129, origin choice 2)
One atom of each set of equivalent atoms:
Tm 0.250 0.750 0.000 x2
Lu 0.250 0.250 0.403 x2
P 0.250 0.250 0.801 x2
O 0.250 0.750 0.500 x2



Material: TmLuPO
Method: DFT, PBE
State: optimized geometry

a = 4.235 Å, b = 4.235 Å, c = 8.349 Å
α = 90.00°, β = 90.00°, γ = 90.00°
Space group P4/nmm (No. 129, origin choice 2)
One atom of each set of equivalent atoms:
Tm 0.250 0.250 0.102 x2
Lu 0.250 0.750 0.500 x2
P 0.250 0.250 0.695 x2
O 0.250 0.750 0.000 x2



Material: TmLuPO
Method: DFT, PBE
State: optimized geometry

a = 4.048 Å, b = 7.261 Å, c = 5.602 Å
α = 90.00°, β = 90.00°, γ = 90.00°
Space group Pmc2_1 (No. 26)
One atom of each set of equivalent atoms:
Tm 0.000 0.123 0.000 x2
Lu 0.500 0.291 0.443 x2
P 0.500 0.345 0.934 x2
O 0.000 0.176 0.389 x2



Record order is preserved below.
Magnetic moment: 0.003, 0.001, 0.001, 0.050, 0.000, 0.042, 0.001, 0.002, 0.001, 0.003 μB/atom
Record order is preserved below.
Total DFT energy (no corrections): -6.842, -6.879, -6.738, -5.598, -5.427, -5.519, -5.669, -6.749, -6.784, -6.851 eV per atom